Here is BaMg2H after structural relaxation from the Alexandria database. Energies are from PBE.

a b c (Å): 6.743 6.743 6.743
angles (deg): 60.00 60.00 60.00
Positions (direct):
Ba1 0.125 0.125 0.125
Ba2 0.875 0.875 0.875
Mg1 0.000 0.500 0.500
Mg2 0.500 0.000 0.500
Mg3 0.500 0.500 0.000
Mg4 0.500 0.500 0.500
H1 0.375 0.375 0.375
H2 0.625 0.625 0.625

Computed properties:
- calculated volume (A^3/atom) = 27.10
- calculated total energy (eV per atom) = -2.053

Here is BaMgH4 after structural relaxation from the Alexandria database. Energies are from PBE.

a b c (Å): 7.126 7.126 5.675
angles (deg): 90.00 90.00 146.00
Positions (direct):
Ba1 0.136 0.864 0.750
Ba2 0.864 0.136 0.250
Mg1 0.403 0.597 0.750
Mg2 0.597 0.403 0.250
H1 0.084 0.916 0.250
H2 0.310 0.690 0.506
H3 0.310 0.690 0.994
H4 0.500 0.500 0.000
H5 0.500 0.500 0.500
H6 0.690 0.310 0.006
H7 0.690 0.310 0.494
H8 0.916 0.084 0.750

Computed properties:
- calculated volume (A^3/atom) = 13.43
- calculated total energy (eV per atom) = -3.226

Here is Ba6MgH12 after structural relaxation from the Alexandria database. Energies are from PBE.

a b c (Å): 7.362 7.362 7.362
angles (deg): 98.15 98.15 98.15
Positions (direct):
Ba1 0.102 0.781 0.642
Ba2 0.219 0.358 0.898
Ba3 0.358 0.898 0.219
Ba4 0.642 0.102 0.781
Ba5 0.781 0.642 0.102
Ba6 0.898 0.219 0.358
Mg1 0.500 0.500 0.500
H1 0.035 0.904 0.322
H2 0.096 0.678 0.965
H3 0.225 0.441 0.546
H4 0.322 0.035 0.904
H5 0.441 0.546 0.225
H6 0.454 0.775 0.559
H7 0.546 0.225 0.441
H8 0.559 0.454 0.775
H9 0.678 0.965 0.096
H10 0.775 0.559 0.454
H11 0.904 0.322 0.035
H12 0.965 0.096 0.678

Computed properties:
- calculated volume (A^3/atom) = 20.30
- calculated total energy (eV per atom) = -3.192